(1)
Material: LuMo2As
Method: DFT, PBE
State: optimized geometry

Magnetic moment in μB/cell: 0.02
Electronic total energy in eV per atom: -7.64

abc: 6.540 6.540 6.540
angles: 90.00 90.00 90.00
Space group F-43m (No. 216)
Unique sites:
Lu: 0.000 0.000 0.000 (multiplicity 4)
Mo: 0.000 0.000 0.500 (multiplicity 4)
Mo: 0.250 0.250 0.250 (multiplicity 4)
As: 0.250 0.250 0.750 (multiplicity 4)

(2)
Material: TbAgSeO
Method: DFT, PBE
State: optimized geometry

Magnetic moment in μB/cell: 0.00
Electronic total energy in eV per atom: -5.55

abc: 4.313 6.457 6.558
angles: 90.00 90.00 90.00
Space group Pmc2_1 (No. 26)
Unique sites:
Tb: 0.000 0.163 0.000 (multiplicity 2)
Ag: 0.500 0.256 0.590 (multiplicity 2)
Se: 0.500 0.348 0.200 (multiplicity 2)
O: 0.000 0.110 0.678 (multiplicity 2)

(3)
Material: SbAs5Pd16
Method: DFT, PBE
State: optimized geometry

Electronic total energy in eV per atom: -5.40

abc: 7.436 7.466 7.622
angles: 98.90 102.63 119.07
Space group P-1 (No. 2)
Unique sites:
Sb: 0.000 0.000 0.000 (multiplicity 1)
As: 0.169 0.834 0.527 (multiplicity 2)
As: 0.335 0.676 0.001 (multiplicity 2)
As: 0.500 0.500 0.500 (multiplicity 1)
Pd: 0.014 0.689 0.155 (multiplicity 2)
Pd: 0.048 0.709 0.796 (multiplicity 2)
Pd: 0.182 0.121 0.390 (multiplicity 2)
Pd: 0.209 0.498 0.606 (multiplicity 2)
Pd: 0.276 0.152 0.792 (multiplicity 2)
Pd: 0.378 0.417 0.151 (multiplicity 2)
Pd: 0.409 0.773 0.396 (multiplicity 2)
Pd: 0.437 0.057 0.159 (multiplicity 2)

(4)
Material: Dy2Ho2CIBr2Cl2
Method: DFT, PBE
State: optimized geometry

Magnetic moment in μB/cell: 0.42
Energy above the lowest structure with this stoichiometry in meV/atom: 0.6

abc: 17.095 3.830 8.488
angles: 90.00 103.82 90.00
Space group C2/m (No. 12)
Unique sites:
Dy: 0.001 0.000 0.309 (multiplicity 4)
Ho: 0.143 0.500 0.571 (multiplicity 4)
C: 0.000 0.500 0.500 (multiplicity 2)
I: 0.000 0.500 0.000 (multiplicity 2)
Br: 0.171 0.000 0.824 (multiplicity 4)
Cl: 0.171 0.000 0.359 (multiplicity 4)